1:
DFT (PBE) results for a relaxed structure of NdTmPd.

The value obtained for the magnetic moment is 0.000 μB per atom. Its density of states at the Fermi level is 0.72 states/eV/atom.

```
data_NdTmPd
_chemical_formula_sum 'Nd1 Tm1 Pd1'
_space_group_name_H-M_alt 'P 3 m 1'
_space_group_IT_number 156
_cell_length_a 4.7704
_cell_length_b 4.7704
_cell_length_c 3.9918
_cell_angle_alpha 90.00
_cell_angle_beta 90.00
_cell_angle_gamma 120.00
loop_
_space_group_symop_operation_xyz
'x,y,z'
'-y,x-y,z'
'-x+y,-x,z'
'-y,-x,z'
'-x+y,y,z'
'x,x-y,z'
loop_
_atom_site_label
_atom_site_type_symbol
_atom_site_fract_x
_atom_site_fract_y
_atom_site_fract_z
Nd1 Nd 0.0000 0.0000 0.0000
Tm1 Tm 0.3333 0.6667 0.5218
Pd1 Pd 0.6667 0.3333 0.3674
```

2:
DFT (PBE) results for a relaxed structure of NdTmPd.

The value obtained for the magnetic moment is 0.000 μB per atom. Its density of states at the Fermi level is 0.97 states/eV/atom.

```
data_NdTmPd
_chemical_formula_sum 'Nd2 Tm2 Pd2'
_space_group_name_H-M_alt 'I 4 m m'
_space_group_IT_number 107
_space_group_name_Hall 'I 4 -2'
_cell_length_a 3.578
_cell_length_b 3.578
_cell_length_c 12.314
_cell_angle_alpha 90.00
_cell_angle_beta 90.00
_cell_angle_gamma 90.00
loop_
_atom_site_label
_atom_site_type_symbol
_atom_site_fract_x
_atom_site_fract_y
_atom_site_fract_z
Nd1 Nd 0.000 0.000 0.000
Tm1 Tm 0.000 0.000 0.277
Pd1 Pd 0.000 0.000 0.660
```

Most stable: 2. Least stable: 1.

1:
DFT (PBE) results for a relaxed structure of NdTmPd.

The value obtained for the magnetic moment is 0.000 μB per atom. Its density of states at the Fermi level is 0.94 states/eV/atom.

```
data_NdTmPd
_chemical_formula_sum 'Nd4 Tm4 Pd4'
_space_group_name_H-M_alt 'P 1 21/c 1'
_space_group_IT_number 14
_cell_length_a 7.227
_cell_length_b 6.349
_cell_length_c 7.407
_cell_angle_alpha 90.00
_cell_angle_beta 107.76
_cell_angle_gamma 90.00
loop_
_space_group_symop_operation_xyz
'x,y,z'
'-x,-y,-z'
'-x,y+1/2,-z+1/2'
'x,-y+1/2,z+1/2'
loop_
_atom_site_label
_atom_site_type_symbol
_atom_site_fract_x
_atom_site_fract_y
_atom_site_fract_z
Nd1 Nd 0.140 0.133 0.365
Tm1 Tm 0.426 0.657 0.298
Pd1 Pd 0.184 0.594 0.518
```

2:
DFT (PBE) results for a relaxed structure of NdTmPd.

The value obtained for the magnetic moment is 0.000 μB per atom. Its density of states at the Fermi level is 0.96 states/eV/atom.

```
data_NdTmPd
_chemical_formula_sum 'Nd4 Tm4 Pd4'
_space_group_name_H-M_alt 'F -4 3 m'
_space_group_IT_number 216
_space_group_name_Hall 'F -4 2 3'
_cell_length_a 6.986
_cell_length_b 6.986
_cell_length_c 6.986
_cell_angle_alpha 90.00
_cell_angle_beta 90.00
_cell_angle_gamma 90.00
loop_
_atom_site_label
_atom_site_type_symbol
_atom_site_fract_x
_atom_site_fract_y
_atom_site_fract_z
Nd1 Nd 0.000 0.000 0.000
Tm1 Tm 0.000 0.000 0.500
Pd1 Pd 0.250 0.250 0.250
```

Most stable: 1. Least stable: 2.

1:
DFT (PBE) results for a relaxed structure of NdTmPd4.

The value obtained for the magnetic moment is 0.000 μB per atom. Its density of states at the Fermi level is 0.43 states/eV/atom.

```
data_NdTmPd4
_chemical_formula_sum 'Nd1 Tm1 Pd4'
_space_group_name_H-M_alt 'P 4/m m m'
_space_group_IT_number 123
_space_group_name_Hall '-P 4 2'
_cell_length_a 3.950
_cell_length_b 3.950
_cell_length_c 8.566
_cell_angle_alpha 90.00
_cell_angle_beta 90.00
_cell_angle_gamma 90.00
loop_
_atom_site_label
_atom_site_type_symbol
_atom_site_fract_x
_atom_site_fract_y
_atom_site_fract_z
Nd1 Nd 0.000 0.000 0.000
Tm1 Tm 0.500 0.500 0.500
Pd1 Pd 0.000 0.500 0.260
```

2:
DFT (PBE) results for a relaxed structure of NdTmPd4.

The value obtained for the magnetic moment is 0.000 μB per atom. Its density of states at the Fermi level is 0.22 states/eV/atom.

```
data_NdTmPd4
_chemical_formula_sum 'Nd4 Tm4 Pd16'
_space_group_name_H-M_alt 'C m c m'
_space_group_IT_number 63
_space_group_name_Hall '-C 2c 2'
_cell_length_a 4.210
_cell_length_b 19.726
_cell_length_c 5.761
_cell_angle_alpha 90.00
_cell_angle_beta 90.00
_cell_angle_gamma 90.00
loop_
_atom_site_label
_atom_site_type_symbol
_atom_site_fract_x
_atom_site_fract_y
_atom_site_fract_z
Nd1 Nd 0.000 0.222 0.250
Tm1 Tm 0.000 0.075 0.750
Pd1 Pd 0.000 0.071 0.250
Pd2 Pd 0.000 0.356 0.505
Pd3 Pd 0.000 0.500 0.000
```

3:
DFT (PBE) results for a relaxed structure of NdTmPd4.

The value obtained for the magnetic moment is 0.000 μB per atom. Its density of states at the Fermi level is 0.34 states/eV/atom.

```
data_NdTmPd4
_chemical_formula_sum 'Nd4 Tm4 Pd16'
_space_group_name_H-M_alt 'F -4 3 m'
_space_group_IT_number 216
_space_group_name_Hall 'F -4 2 3'
_cell_length_a 7.738
_cell_length_b 7.738
_cell_length_c 7.738
_cell_angle_alpha 90.00
_cell_angle_beta 90.00
_cell_angle_gamma 90.00
loop_
_atom_site_label
_atom_site_type_symbol
_atom_site_fract_x
_atom_site_fract_y
_atom_site_fract_z
Nd1 Nd 0.000 0.000 0.000
Tm1 Tm 0.250 0.250 0.750
Pd1 Pd 0.125 0.125 0.375
```

Most stable: 2. Least stable: 1.